Material: SbIrW2
Method: DFT, PBE-GGA
State: relaxed

Properties
**Theoretical density**: 16.64 g/cm³
**Fermi-level density of states**: 0.555 states/eV/atom
**Spin magnetization**: 0.00 μB per formula unit
**Formation energy without anion corrections**: 0.431 eV/atom

Cell lengths 2.9293, 2.9293, 27.4558 Å; angles 90.00, 90.00, 120.00 degrees
Space group R-3m (No. 166, hexagonal axes)
Unique sites:
Sb1 0.0000 0.0000 0.0000
Ir1 0.0000 0.0000 0.5000
W1 0.0000 0.0000 0.2463


Material: Sb2IrW
Method: DFT, PBE-GGA
State: relaxed

Properties
**Energy relative to the lowest polymorph listed for this composition**: 30.7 kJ/mol of atoms
**Theoretical density**: 13.94 g/cm³
**Fermi-level density of states**: 0.514 states/eV/atom
**Spin magnetization**: 0.00 μB per formula unit
**Formation energy without anion corrections**: 0.473 eV/atom

Cell lengths 6.658, 6.658, 6.658 Å; angles 90.00, 90.00, 90.00 degrees
Space group Fm-3m (No. 225)
Unique sites:
Sb1 0.250 0.250 0.250
Ir1 0.000 0.000 0.000
W1 0.000 0.000 0.500


Material: Sb2IrW
Method: DFT, PBE-GGA
State: relaxed

Properties
**Energy relative to the lowest polymorph listed for this composition**: 30.8 kJ/mol of atoms
**Theoretical density**: 12.91 g/cm³
**Fermi-level density of states**: 0.889 states/eV/atom
**Spin magnetization**: 0.00 μB per formula unit
**Formation energy without anion corrections**: 0.474 eV/atom

Cell lengths 3.399, 4.125, 11.369 Å; angles 90.00, 90.00, 90.00 degrees
Space group Imm2 (No. 44)
Unique sites:
Sb1 0.000 0.000 0.000
Sb2 0.000 0.500 0.242
Ir1 0.000 0.000 0.544
W1 0.000 0.500 0.838


Material: Sb2IrW
Method: DFT, PBE-GGA
State: relaxed

Properties
**Energy relative to the lowest polymorph listed for this composition**: 20.2 kJ/mol of atoms
**Theoretical density**: 12.80 g/cm³
**Fermi-level density of states**: 0.579 states/eV/atom
**Spin magnetization**: 0.00 μB per formula unit
**Formation energy without anion corrections**: 0.364 eV/atom

Cell lengths 10.431, 2.991, 5.936 Å; angles 90.00, 119.79, 90.00 degrees
Space group Cm (No. 8)
Unique sites:
Sb1 0.000 0.000 0.000
Sb2 0.172 0.000 0.639
Ir1 0.424 0.000 0.539
W1 0.255 0.500 0.112


Material: SbIrW2
Method: DFT, PBE-GGA
State: relaxed

Properties
**Theoretical density**: 16.83 g/cm³
**Fermi-level density of states**: 0.655 states/eV/atom
**Spin magnetization**: 0.00 μB per formula unit
**Formation energy without anion corrections**: 0.350 eV/atom

Cell lengths 9.720, 2.994, 4.858 Å; angles 90.00, 107.90, 90.00 degrees
Space group Cm (No. 8)
Unique sites:
Sb1 0.000 0.000 0.000
Ir1 0.243 0.500 0.338
W1 0.245 0.000 0.820
W2 0.483 0.000 0.477


Material: Sb2IrW
Method: DFT, PBE-GGA
State: relaxed

Properties
**Energy relative to the lowest polymorph listed for this composition**: 47.4 kJ/mol of atoms
**Theoretical density**: 13.64 g/cm³
**Fermi-level density of states**: 0.713 states/eV/atom
**Spin magnetization**: 0.59 μB per formula unit
**Formation energy without anion corrections**: 0.646 eV/atom

Cell lengths 3.963, 3.963, 9.606 Å; angles 90.00, 90.00, 90.00 degrees
Space group I-4m2 (No. 119)
Unique sites:
Sb1 0.000 0.000 0.000
Sb2 0.000 0.500 0.250
Ir1 0.000 0.000 0.500
W1 0.000 0.500 0.750


Material: SbIr3W
Method: DFT, PBE-GGA
State: relaxed

Properties
**Energy relative to the lowest polymorph listed for this composition**: 0.0 kJ/mol of atoms
**Theoretical density**: 13.37 g/cm³
**Fermi-level density of states**: 1.106 states/eV/atom
**Spin magnetization**: 0.00 μB per formula unit
**Formation energy without anion corrections**: 1.429 eV/atom

Cell lengths 4.785, 4.785, 4.785 Å; angles 90.00, 90.00, 90.00 degrees
Space group Pm-3m (No. 221)
Unique sites:
Sb1 0.000 0.000 0.000
Ir1 0.000 0.500 0.500
W1 0.500 0.500 0.500


Material: SbIrW2
Method: DFT, PBE-GGA
State: relaxed

Properties
**Theoretical density**: 16.77 g/cm³
**Fermi-level density of states**: 0.776 states/eV/atom
**Spin magnetization**: 0.00 μB per formula unit
**Formation energy without anion corrections**: 0.356 eV/atom

Cell lengths 4.292, 2.849, 11.043 Å; angles 90.00, 90.00, 90.00 degrees
Space group Amm2 (No. 38)
Unique sites:
Sb1 0.000 0.000 0.000
Ir1 0.500 0.000 0.859
W1 0.000 0.000 0.254
W2 0.500 0.000 0.618